No. 1
Entry from the Open Quantum Materials Database: U3Co3Sb4 after structural relaxation (PBE-GGA).

abc: 8.0273 8.0273 8.0273
angles: 109.47 109.47 109.47
Last column: nearest neighbours and their distance in Å.
Fractional positions:
U  0.1250  0.8750  0.2500  4 Co 2.84
U  0.2500  0.1250  0.8750  4 Co 2.84
U  0.3750  0.6250  0.7500  4 Co 2.84
U  0.6250  0.7500  0.3750  4 Co 2.84
U  0.7500  0.3750  0.6250  4 Co 2.84
U  0.8750  0.2500  0.1250  4 Co 2.84
Co  0.1250  0.7500  0.8750  4 Sb 2.59, 4 U 2.84
Co  0.2500  0.6250  0.3750  4 Sb 2.59, 4 U 2.84
Co  0.3750  0.2500  0.6250  4 Sb 2.59, 4 U 2.84
Co  0.6250  0.3750  0.2500  4 Sb 2.59, 4 U 2.84
Co  0.7500  0.8750  0.1250  4 Sb 2.59, 4 U 2.84
Co  0.8750  0.1250  0.7500  4 Sb 2.59, 4 U 2.84
Sb  0.0000  0.1664  0.5000  3 Co 2.59
Sb  0.0000  0.6664  0.5000  3 Co 2.59
Sb  0.1664  0.5000  0.0000  3 Co 2.59
Sb  0.3336  0.3336  0.3336  3 Co 2.59
Sb  0.5000  0.0000  0.1664  3 Co 2.59
Sb  0.5000  0.0000  0.6664  3 Co 2.59
Sb  0.6664  0.5000  0.0000  3 Co 2.59
Sb  0.8336  0.8336  0.8336  3 Co 2.59

Summary:
Space-group type: I-43d, No. 220
VASP energy, eV per atom: -7.5785

No. 2
Entry from the Open Quantum Materials Database: Co2SbW after structural relaxation (PBE-GGA).

abc: 4.3267 4.3267 4.3267
angles: 60.00 60.00 60.00
Last column: nearest neighbours and their distance in Å.
Fractional positions:
Co  0.0000  0.0000  0.0000  4 W 2.65, 4 Co 2.65
Co  0.2500  0.2500  0.2500  4 Sb 2.65, 4 Co 2.65
Sb  0.5000  0.5000  0.5000  4 W 2.65, 4 Co 2.65
W  0.7500  0.7500  0.7500  4 Co 2.65, 4 Sb 2.65

Summary:
Space-group type: F-43m, No. 216
VASP energy, eV per atom: -7.3880

No. 3
Entry from the Open Quantum Materials Database: YCoSbW after structural relaxation (PBE-GGA).

abc: 4.7756 4.7756 4.7756
angles: 60.00 60.00 60.00
Last column: nearest neighbours and their distance in Å.
Fractional positions:
Y  0.0000  0.0000  0.0000  4 W 2.92, 4 Sb 2.92
Co  0.5000  0.5000  0.5000  4 W 2.92, 4 Sb 2.92
Sb  0.2500  0.2500  0.2500  4 Co 2.92, 4 Y 2.92
W  0.7500  0.7500  0.7500  4 Co 2.92, 4 Y 2.92

Summary:
Space-group type: F-43m, No. 216
Energy above the lowest structure with this stoichiometry, meV/atom: 254
VASP energy, eV per atom: -6.9960

No. 4
Entry from the Open Quantum Materials Database: YCoSbW after structural relaxation (PBE-GGA).

abc: 4.6779 4.6779 4.6779
angles: 60.00 60.00 60.00
Last column: nearest neighbours and their distance in Å.
Fractional positions:
Y  0.0000  0.0000  0.0000  4 W 2.86, 4 Co 2.86
Co  0.7500  0.7500  0.7500  4 Sb 2.86, 4 Y 2.86
Sb  0.5000  0.5000  0.5000  4 W 2.86, 4 Co 2.86
W  0.2500  0.2500  0.2500  4 Sb 2.86, 4 Y 2.86

Summary:
Space-group type: F-43m, No. 216
Energy above the lowest structure with this stoichiometry, meV/atom: 0
VASP energy, eV per atom: -7.2504

Q: The highest VASP energy belongs to which entry?
A: number 3

Q: Which value of VASP energy does entry 4 give?
A: -7.2504 eV per atom